Run A
Crystalline La2SBr at its relaxed geometry, computed with PBE.

Values from the calculation:
The value obtained for the theoretical density is 6.5 g cm⁻³.

Cell: 7.342 7.342 7.342 Å, 90.00 90.00 90.00°
Space group Fm-3m (No. 225)
One atom of each set of equivalent atoms:
La (0.250, 0.250, 0.250) x8
S (0.000, 0.000, 0.000) x4
Br (0.000, 0.000, 0.500) x4


Run B
Crystalline La2SBr at its relaxed geometry, computed with PBE.

Values from the calculation:
The value obtained for the theoretical density is 6.0 g cm⁻³.

Cell: 3.850 8.317 6.787 Å, 90.00 90.00 90.00°
Space group Pmmn (No. 59, origin choice 2)
One atom of each set of equivalent atoms:
La (0.250, 0.009, 0.229) x4
S (0.250, 0.750, 0.924) x2
Br (0.250, 0.250, 0.586) x2


On energetic grounds, run B is preferred over the next structure by 156 meV per atom.


Run A
Crystalline LaSeSBr2 at its relaxed geometry, computed with PBE.

Values from the calculation:
The value obtained for the theoretical density is 3.3 g cm⁻³.

Cell: 5.815 5.815 6.013 Å, 90.00 90.00 90.00°
Space group P4/mmm (No. 123)
One atom of each set of equivalent atoms:
La (0.000, 0.000, 0.000) x1
Se (0.000, 0.000, 0.500) x1
S (0.500, 0.500, 0.500) x1
Br (0.000, 0.500, 0.000) x2


Run B
Crystalline LaSeSBr2 at its relaxed geometry, computed with PBE.

Values from the calculation:
The value obtained for the theoretical density is 5.0 g cm⁻³.

Cell: 5.205 5.205 5.000 Å, 90.00 90.00 90.00°
Space group P4/mmm (No. 123)
One atom of each set of equivalent atoms:
La (0.000, 0.000, 0.000) x1
Se (0.500, 0.500, 0.000) x1
S (0.500, 0.500, 0.500) x1
Br (0.000, 0.500, 0.500) x2


On energetic grounds, run A is preferred over the next structure by 100 meV per atom.


Run A
Crystalline LaSb3Br at its relaxed geometry, computed with PBE.

Values from the calculation:
The value obtained for the theoretical density is 4.3 g cm⁻³.

Cell: 6.097 6.097 6.097 Å, 90.00 90.00 90.00°
Space group Pm-3m (No. 221)
One atom of each set of equivalent atoms:
La (0.000, 0.000, 0.000) x1
Sb (0.000, 0.000, 0.500) x3
Br (0.500, 0.500, 0.500) x1


Run B
Crystalline LaSb3Br at its relaxed geometry, computed with PBE.

Values from the calculation:
The value obtained for the theoretical density is 5.9 g cm⁻³.

Cell: 5.480 5.480 5.480 Å, 90.00 90.00 90.00°
Space group Pm-3m (No. 221)
One atom of each set of equivalent atoms:
La (0.000, 0.000, 0.000) x1
Sb (0.000, 0.500, 0.500) x3
Br (0.500, 0.500, 0.500) x1


On energetic grounds, run B is preferred over the next structure by 307 meV per atom.